{
  "formula": "Pr11Zn9Ag4",
  "functional": "GGA-PBE",
  "state": "relaxed",
  "lattice_angstrom": [[7.4672, -10.8890, 0.0000], [7.4672, 10.8890, 0.0000], [0.0000, 0.0000, 3.7819]],
  "species": ["Pr", "Pr", "Pr", "Pr", "Pr", "Pr", "Pr", "Pr", "Pr", "Pr", "Pr", "Zn", "Zn", "Zn", "Zn", "Zn", "Zn", "Zn", "Zn", "Zn", "Ag", "Ag", "Ag", "Ag"],
  "frac_coords": [[0.0000, 0.0000, 0.0000], [0.0678, 0.4117, 0.0000], [0.1731, 0.8269, 0.0000], [0.2454, 0.2454, 0.0000], [0.3497, 0.6503, 0.0000], [0.4117, 0.0678, 0.0000], [0.5883, 0.9322, 0.0000], [0.6503, 0.3497, 0.0000], [0.7546, 0.7546, 0.0000], [0.8269, 0.1731, 0.0000], [0.9322, 0.5883, 0.0000], [0.0380, 0.2046, 0.5000], [0.1445, 0.6254, 0.5000], [0.2046, 0.0380, 0.5000], [0.3746, 0.8555, 0.5000], [0.5000, 0.5000, 0.5000], [0.6254, 0.1445, 0.5000], [0.7954, 0.9620, 0.5000], [0.8555, 0.3746, 0.5000], [0.9620, 0.7954, 0.5000], [0.2747, 0.4457, 0.5000], [0.4457, 0.2747, 0.5000], [0.5543, 0.7253, 0.5000], [0.7253, 0.5543, 0.5000]],
  "magnetic_moment_mub_per_cell": 0.00,
  "density_g_cm3": 6.9,
  "spacegroup": "Cmmm",
  "delta_e_f_ev_per_atom": -0.25
}